Crystalline Sr2HoGa3Pd4 at its relaxed geometry. Source: Alexandria via LeMat-Bulk, functional PBE-GGA.

The space group is P-4m2 (No. 115) and the conventional cell measures 4.4191, 4.4191 and 11.1888 Å, with angles of 90.00, 90.00 and 90.00 degrees. The inequivalent atoms are Sr at (0.0000, 0.5000, 0.2290), Ho at (0.0000, 0.0000, 0.5000), Ga at (0.0000, 0.5000, 0.8834), Ga at (0.5000, 0.5000, 0.5000), Pd at (0.0000, 0.0000, 0.0000), Pd at (0.0000, 0.5000, 0.6528) and Pd at (0.5000, 0.5000, 0.0000).

The density of states at the Fermi level is 7.27 states/eV per cell. The calculation puts the total energy at -4.512 eV/atom.